1) Entry from the Open Quantum Materials Database: a relaxed HoAgB crystal (PBE-GGA).

Cell: 4.2572 4.2572 4.2572 Å, 60.00 60.00 60.00°
Fractional coordinates of all 3 atoms:
1 Ag 0.2500 0.2500 0.2500
2 B 0.0000 0.0000 0.0000
3 Ho 0.7500 0.7500 0.7500



2) Entry from the Open Quantum Materials Database: a relaxed HoAgB crystal (PBE-GGA).

Cell: 4.4909 4.4909 4.4909 Å, 60.00 60.00 60.00°
Fractional coordinates of all 3 atoms:
1 Ag 0.2500 0.2500 0.2500
2 B 0.7500 0.7500 0.7500
3 Ho 0.0000 0.0000 0.0000



Relative energies with respect to the most stable structure, expressed in eV/atom: 1) 0.000; 2) 0.750.



1) Entry from the Open Quantum Materials Database: a relaxed InAgB4 crystal (PBE-GGA).

Cell: 5.0221 5.0221 5.0221 Å, 143.74 115.32 76.47°
Fractional coordinates of all 6 atoms:
1 Ag 0.0000 0.0000 0.0000
2 B 0.5784 0.2485 0.3299
3 B 0.0814 0.7515 0.3299
4 B 0.9186 0.2485 0.6701
5 B 0.4216 0.7515 0.6701
6 In 0.5000 0.5000 0.0000



2) Entry from the Open Quantum Materials Database: a relaxed InAgB4 crystal (PBE-GGA).

Cell: 3.1265 3.1265 7.7526 Å, 90.00 90.00 120.00°
Fractional coordinates of all 6 atoms:
1 Ag 0.0000 0.0000 0.5000
2 B 0.6667 0.3333 0.2484
3 B 0.3333 0.6667 0.2484
4 B 0.6667 0.3333 0.7516
5 B 0.3333 0.6667 0.7516
6 In 0.0000 0.0000 0.0000



Relative energies with respect to the most stable structure, expressed in eV/atom: 1) 0.000; 2) 0.005.



1) Entry from the Open Quantum Materials Database: a relaxed AgB4Ir crystal (PBE-GGA).

Cell: 4.7201 4.7201 4.7201 Å, 142.20 111.94 80.57°
Fractional coordinates of all 6 atoms:
1 Ag 0.0000 0.0000 0.0000
2 B 0.5927 0.2510 0.3417
3 B 0.0907 0.7490 0.3417
4 B 0.9093 0.2510 0.6583
5 B 0.4073 0.7490 0.6583
6 Ir 0.5000 0.5000 0.0000



2) Entry from the Open Quantum Materials Database: a relaxed AgB4Ir crystal (PBE-GGA).

Cell: 3.0300 3.0300 7.5991 Å, 90.00 90.00 120.00°
Fractional coordinates of all 6 atoms:
1 Ag 0.0000 0.0000 0.0000
2 B 0.6667 0.3333 0.2812
3 B 0.3333 0.6667 0.2812
4 B 0.6667 0.3333 0.7188
5 B 0.3333 0.6667 0.7188
6 Ir 0.0000 0.0000 0.5000



Relative energies with respect to the most stable structure, expressed in eV/atom: 1) 0.070; 2) 0.000.



1) Entry from the Open Quantum Materials Database: a relaxed KAgB4 crystal (PBE-GGA).

Cell: 5.7154 5.7154 5.7154 Å, 152.95 119.75 67.24°
Fractional coordinates of all 6 atoms:
1 Ag 0.0000 0.0000 0.0000
2 B 0.6138 0.2612 0.3526
3 B 0.0914 0.7388 0.3526
4 B 0.9086 0.2612 0.6474
5 B 0.3862 0.7388 0.6474
6 K 0.5000 0.5000 0.0000



2) Entry from the Open Quantum Materials Database: a relaxed KAgB4 crystal (PBE-GGA).

Cell: 3.0721 3.0721 8.7496 Å, 90.00 90.00 120.00°
Fractional coordinates of all 6 atoms:
1 Ag 0.0000 0.0000 0.5000
2 B 0.6667 0.3333 0.2817
3 B 0.3333 0.6667 0.2817
4 B 0.6667 0.3333 0.7183
5 B 0.3333 0.6667 0.7183
6 K 0.0000 0.0000 0.0000



Relative energies with respect to the most stable structure, expressed in eV/atom: 1) 0.048; 2) 0.000.



1) Entry from the Open Quantum Materials Database: a relaxed LaAgB4 crystal (PBE-GGA).

Cell: 5.3563 5.3563 5.3563 Å, 145.72 118.27 72.55°
Fractional coordinates of all 6 atoms:
1 Ag 0.0000 0.0000 0.0000
2 B 0.5618 0.2430 0.3188
3 B 0.0757 0.7570 0.3188
4 B 0.9243 0.2430 0.6812
5 B 0.4382 0.7570 0.6812
6 La 0.5000 0.5000 0.0000



2) Entry from the Open Quantum Materials Database: a relaxed LaAgB4 crystal (PBE-GGA).

Cell: 3.2349 3.2349 7.7365 Å, 90.00 90.00 120.00°
Fractional coordinates of all 6 atoms:
1 Ag 0.0000 0.0000 0.5000
2 B 0.6667 0.3333 0.2705
3 B 0.3333 0.6667 0.2705
4 B 0.6667 0.3333 0.7295
5 B 0.3333 0.6667 0.7295
6 La 0.0000 0.0000 0.0000



Relative energies with respect to the most stable structure, expressed in eV/atom: 1) 0.000; 2) 0.069.



1) Entry from the Open Quantum Materials Database: a relaxed LaAgB crystal (PBE-GGA).

Cell: 4.6023 4.6023 4.6023 Å, 60.00 60.00 60.00°
Fractional coordinates of all 3 atoms:
1 Ag 0.0000 0.0000 0.0000
2 B 0.2500 0.2500 0.2500
3 La 0.7500 0.7500 0.7500



2) Entry from the Open Quantum Materials Database: a relaxed LaAgB crystal (PBE-GGA).

Cell: 4.7505 4.7505 4.7505 Å, 60.00 60.00 60.00°
Fractional coordinates of all 3 atoms:
1 Ag 0.2500 0.2500 0.2500
2 B 0.7500 0.7500 0.7500
3 La 0.0000 0.0000 0.0000



Relative energies with respect to the most stable structure, expressed in eV/atom: 1) 0.000; 2) 0.227.